Density functional theory data (PBE-GGA) for Pu2U2Se7 after structural relaxation.

Cell: 8.895 8.895 8.895 Å, 153.74 67.30 119.28°
Fractional coordinates of all 11 atoms:
Pu  0.240  0.000  0.240
Pu  0.760  0.000  0.760
U  0.242  0.242  0.000
U  0.687  0.187  0.500
Se  0.055  0.689  0.367
Se  0.322  0.689  0.633
Se  0.410  0.518  0.892
Se  0.616  0.297  0.319
Se  0.625  0.518  0.108
Se  0.919  0.919  0.000
Se  0.978  0.297  0.681

Excess energy over the best structure of this formula in the dataset = 0 meV/atom
DOS at the Fermi energy = 31.0 states/eV per cell
Raw formation energy = -1.2485 eV/atom
Total moment = 0.56 μB/atom